i | DFT (PBE-GGA) results for crystalline Na2BeH at its relaxed geometry.

Computed properties:
- V: 19.29 A^3/atom
- M_tot: 0.00 μB per formula unit

```
8
Lattice="-3.4243 3.4243 3.2906 3.4243 -3.4243 3.2906 3.4243 3.4243 -3.2906" Properties=species:S:1:pos:R:3 pbc="T T T"
Na 1.7121 1.1092 -0.8227
Na 2.3151 -1.7121 4.1133
Na 1.7121 2.3151 2.4680
Na 1.1092 5.1364 0.8227
Be 3.4243 0.0000 1.6453
Be 0.0000 0.0000 3.2906
H 0.0000 0.0000 0.0000
H 0.0000 3.4243 1.6453
```

ii | DFT (PBE-GGA) results for crystalline Na2BeH at its relaxed geometry.

Computed properties:
- V: 19.38 A^3/atom
- M_tot: 0.00 μB per formula unit

```
4
Lattice="0.0000 3.3845 3.3845 3.3845 0.0000 3.3845 3.3845 3.3845 0.0000" Properties=species:S:1:pos:R:3 pbc="T T T"
Na 1.6923 1.6923 1.6923
Na 5.0768 5.0768 5.0768
Be 0.0000 0.0000 0.0000
H 3.3845 3.3845 3.3845
```

Q: Which of them is the least stable? A: ii.

i | DFT (PBE-GGA) results for crystalline NaBe3H at its relaxed geometry.

Computed properties:
- V: 10.46 A^3/atom
- M_tot: 0.00 μB per formula unit

```
5
Lattice="3.7396 0.0000 0.0000 0.0000 3.7396 0.0000 0.0000 0.0000 3.7396" Properties=species:S:1:pos:R:3 pbc="T T T"
Na 0.0000 0.0000 0.0000
Be 0.0000 1.8698 1.8698
Be 1.8698 0.0000 1.8698
Be 1.8698 1.8698 0.0000
H 1.8698 1.8698 1.8698
```

ii | DFT (PBE-GGA) results for crystalline NaBe3H at its relaxed geometry.

Computed properties:
- V: 24.18 A^3/atom
- M_tot: 0.31 μB per formula unit

```
5
Lattice="4.9450 0.0000 0.0000 0.0000 4.9450 0.0000 0.0000 0.0000 4.9450" Properties=species:S:1:pos:R:3 pbc="T T T"
Na 0.0000 0.0000 0.0000
Be 0.0000 0.0000 2.4725
Be 0.0000 2.4725 0.0000
Be 2.4725 0.0000 0.0000
H 2.4725 2.4725 2.4725
```

Q: Which of them is the least stable? A: ii.

i | DFT (PBE-GGA) results for crystalline Na2BeH4 at its relaxed geometry.

Computed properties:
- V: 9.22 A^3/atom
- M_tot: 0.00 μB per formula unit

```
7
Lattice="-1.6745 1.6745 5.7522 1.6745 -1.6745 5.7522 1.6745 1.6745 -5.7522" Properties=species:S:1:pos:R:3 pbc="T T T"
Na 0.0000 0.0000 1.6314
Na 0.0000 0.0000 9.8731
Be 0.0000 0.0000 5.7522
H 1.6745 0.0000 0.0000
H 0.0000 0.0000 4.0713
H 0.0000 1.6745 0.0000
H 0.0000 0.0000 7.4331
```

ii | DFT (PBE-GGA) results for crystalline Na2BeH4 at its relaxed geometry.

Computed properties:
- V: 11.64 A^3/atom
- M_tot: 0.00 μB per formula unit

```
14
Lattice="5.0137 0.0000 0.0000 0.0000 4.9200 0.0000 -1.2546 0.0000 6.6041" Properties=species:S:1:pos:R:3 pbc="T T T"
Na 1.0969 1.2300 0.1942
Na 0.5836 1.2300 3.5353
Na 3.1754 3.6900 3.0688
Na 2.6622 3.6900 6.4099
Be 0.1034 3.6900 5.1564
Be 3.6556 1.2300 1.4477
H -0.7125 2.5523 4.8537
H -0.7125 4.8277 4.8537
H 0.3576 3.6900 6.5692
H 1.3129 3.6900 4.3606
H 2.4462 1.2300 2.2436
H 3.4014 1.2300 0.0349
H 4.4715 0.0923 1.7505
H 4.4715 2.3677 1.7505
```

iii | DFT (PBE-GGA) results for crystalline Na2BeH4 at its relaxed geometry.

Computed properties:
- V: 13.51 A^3/atom
- M_tot: 0.00 μB per formula unit

```
7
Lattice="-2.5584 2.5584 3.6120 2.5584 -2.5584 3.6120 2.5584 2.5584 -3.6120" Properties=species:S:1:pos:R:3 pbc="T T T"
Na 2.5584 0.0000 1.8060
Na 0.0000 2.5584 1.8060
Be 0.0000 0.0000 0.0000
H 0.8525 0.8525 -0.7851
H 1.7060 -1.7060 4.3971
H 1.7060 1.7060 2.8268
H -1.7060 1.7060 4.3971
```

Q: Which of them is the least stable? A: i.